1.
# BaLiP2Pt5 PBE relaxed
data_BaLiP2Pt5
_chemical_formula_sum 'Ba1 Li1 P2 Pt5'
_cell_length_a 4.225
_cell_length_b 4.225
_cell_length_c 9.659
_cell_angle_alpha 90.00
_cell_angle_beta 90.00
_cell_angle_gamma 90.00
_space_group_name_H-M_alt 'P 4/m m m'
_space_group_IT_number 123
_space_group_name_Hall '-P 4 2'
loop_
_atom_site_label
_atom_site_fract_x
_atom_site_fract_y
_atom_site_fract_z
_atom_site_occupancy
Ba1 0.000 0.000 0.000 1
Li1 0.000 0.000 0.500 1
P1 0.500 0.500 0.239 1
Pt1 0.000 0.500 0.342 1
Pt2 0.500 0.500 0.000 1
# **Total energy**: -50.64 eV for the cell shown
# **D(E_F)**: 3.8 states/eV per cell
# **Energy relative to the elements**: -14.81 kcal/mol of atoms

=====

2.
# Tb3Be PBE relaxed
data_Tb3Be
_chemical_formula_sum 'Tb6 Be2'
_cell_length_a 3.619
_cell_length_b 5.163
_cell_length_c 11.169
_cell_angle_alpha 90.00
_cell_angle_beta 90.00
_cell_angle_gamma 90.00
_space_group_name_H-M_alt 'I m m m'
_space_group_IT_number 71
_space_group_name_Hall '-I 2 2'
loop_
_atom_site_label
_atom_site_fract_x
_atom_site_fract_y
_atom_site_fract_z
_atom_site_occupancy
Tb1 0.000 0.000 0.000 1
Tb2 0.000 0.500 0.205 1
Be1 0.000 0.000 0.500 1
# **Total energy**: -34.32 eV for the cell shown
# **D(E_F)**: 8.7 states/eV per cell
# **Distance to the lowest polymorph of the same formula**: 0 meV per atom
# **Energy relative to the elements**: 2.65 kcal/mol of atoms

=====

3.
# BiMo2Cl8 PBE relaxed
data_BiMo2Cl8
_chemical_formula_sum 'Bi2 Mo4 Cl16'
_cell_length_a 13.680
_cell_length_b 8.162
_cell_length_c 7.489
_cell_angle_alpha 90.00
_cell_angle_beta 92.30
_cell_angle_gamma 90.00
_space_group_name_H-M_alt 'C 1 2/m 1'
_space_group_IT_number 12
_space_group_name_Hall '-C 2y'
loop_
_atom_site_label
_atom_site_fract_x
_atom_site_fract_y
_atom_site_fract_z
_atom_site_occupancy
Bi1 0.000 0.000 0.000 1
Mo1 0.140 0.000 0.275 1
Cl1 0.073 0.262 0.264 1
Cl2 0.171 0.000 0.580 1
Cl3 0.216 0.500 0.857 1
# **Formation energy from raw total energies**: -0.572 eV per atom
# **Total energy**: -93.23 eV for the cell shown

=====

4.
# Ac2Zn2Ga PBE relaxed
data_Ac2Zn2Ga
_chemical_formula_sum 'Ac8 Zn8 Ga4'
_cell_length_a 11.283
_cell_length_b 4.759
_cell_length_c 11.565
_cell_angle_alpha 90.00
_cell_angle_beta 118.89
_cell_angle_gamma 90.00
_space_group_name_H-M_alt 'C 1 2/m 1'
_space_group_IT_number 12
_space_group_name_Hall '-C 2y'
loop_
_atom_site_label
_atom_site_fract_x
_atom_site_fract_y
_atom_site_fract_z
_atom_site_occupancy
Ac1 0.025 0.000 0.340 1
Ac2 0.200 0.000 0.110 1
Zn1 0.004 0.500 0.886 1
Zn2 0.142 0.500 0.558 1
Ga1 0.228 0.500 0.345 1
# **Total energy**: -62.45 eV for the cell shown
# **D(E_F)**: 15.4 states/eV per cell
# **Energy relative to the elements**: -8.39 kcal/mol of atoms

=====

5.
# CeTm3Fe PBE relaxed
data_CeTm3Fe
_chemical_formula_sum 'Ce1 Tm3 Fe1'
_cell_length_a 5.198
_cell_length_b 5.198
_cell_length_c 5.198
_cell_angle_alpha 90.00
_cell_angle_beta 90.00
_cell_angle_gamma 90.00
_space_group_name_H-M_alt 'P m -3 m'
_space_group_IT_number 221
_space_group_name_Hall '-P 4 2 3'
loop_
_atom_site_label
_atom_site_fract_x
_atom_site_fract_y
_atom_site_fract_z
_atom_site_occupancy
Ce1 0.000 0.000 0.000 1
Tm1 0.000 0.500 0.500 1
Fe1 0.500 0.500 0.500 1
# **Total energy**: -27.12 eV for the cell shown
# **D(E_F)**: 11.0 states/eV per cell
# **Distance to the lowest polymorph of the same formula**: 185 meV per atom
# **Energy relative to the elements**: 3.20 kcal/mol of atoms

=====

6.
# TbSmPbSe PBE relaxed
data_TbSmPbSe
_chemical_formula_sum 'Tb1 Sm1 Pb1 Se1'
_cell_length_a 4.348
_cell_length_b 4.348
_cell_length_c 6.109
_cell_angle_alpha 90.00
_cell_angle_beta 90.00
_cell_angle_gamma 90.00
_space_group_name_H-M_alt 'P 4/m m m'
_space_group_IT_number 123
_space_group_name_Hall '-P 4 2'
loop_
_atom_site_label
_atom_site_fract_x
_atom_site_fract_y
_atom_site_fract_z
_atom_site_occupancy
Tb1 0.000 0.000 0.000 1
Sm1 0.500 0.500 0.500 1
Pb1 0.000 0.000 0.500 1
Se1 0.500 0.500 0.000 1
# **Formation energy from raw total energies**: -1.142 eV per atom
# **Total energy**: -21.11 eV for the cell shown
# **D(E_F)**: 0.7 states/eV per cell